Below is crystalline AsIrSe4 at its relaxed geometry, with properties calculated at the PBE level.

Values from the calculation:
As for the energy: -4.54 eV/atom. Its energy relative to the lowest polymorph listed for this composition is 0 meV/atom. As for the density of states at the Fermi level: 2.7 states/eV/f.u.

a b c (Å): 7.409 6.866 6.201
angles (deg): 90.00 118.02 90.00
Space group C2 (No. 5)
Asymmetric unit:
As (0.000, 0.000, 0.000) (multiplicity 2)
Ir (0.000, 0.662, 0.500) (multiplicity 2)
Se (0.175, 0.664, 0.948) (multiplicity 4)
Se (0.192, 0.992, 0.475) (multiplicity 4)